{"formula": "RbSb2O2", "functional": "GGA-PBE", "state": "optimized geometry", "dos_at_fermi_per_ev_atom": 0.0724, "formation_energy_uncorrected_mev_per_atom": -1011, "e_tot_ev_per_atom": -4.84, "lattice": [[5.794, 0.000, 0.000], [2.606, 6.351, 0.000], [1.318, 2.563, 7.073]], "species": ["Rb", "Rb", "Sb", "Sb", "Sb", "Sb", "O", "O", "O", "O"], "frac_coords": [[0.152, 0.091, 0.220], [0.848, 0.909, 0.780], [0.193, 0.310, 0.652], [0.446, 0.506, 0.192], [0.554, 0.494, 0.808], [0.807, 0.690, 0.348], [0.071, 0.646, 0.533], [0.075, 0.703, 0.136], [0.925, 0.297, 0.864], [0.929, 0.354, 0.467]]}